Record 1
Here is crystalline SiAs2Rh at its relaxed geometry from Alexandria via LeMat-Bulk. Energies are from PBE-GGA.

CIF file:
```
data_SiAs2Rh
_chemical_formula_sum 'Si2 As4 Rh2'
_symmetry_space_group_name_H-M 'I m m 2'
_symmetry_Int_Tables_number 44
_cell_length_a 2.8287
_cell_length_b 4.8075
_cell_length_c 9.8890
_cell_angle_alpha 90.00
_cell_angle_beta 90.00
_cell_angle_gamma 90.00
loop_
_symmetry_equiv_pos_as_xyz
'x,y,z'
'-x,-y,z'
'-x,y,z'
'x,-y,z'
'x+1/2,y+1/2,z+1/2'
'-x+1/2,-y+1/2,z+1/2'
'-x+1/2,y+1/2,z+1/2'
'x+1/2,-y+1/2,z+1/2'
loop_
_atom_site_label
_atom_site_type_symbol
_atom_site_fract_x
_atom_site_fract_y
_atom_site_fract_z
_atom_site_occupancy
Si1 Si 0.0000 0.0000 0.0000 1
As1 As 0.0000 0.0000 0.5699 1
As2 As 0.0000 0.5000 0.7461 1
Rh1 Rh 0.0000 0.5000 0.2976 1
```

Computed properties:
Uncorrected formation energy in eV per formula unit: 0.439
Crystal system: orthorhombic

Record 2
Here is crystalline SiAs2Rh at its relaxed geometry from Alexandria via LeMat-Bulk. Energies are from PBE-GGA.

CIF file:
```
data_SiAs2Rh
_chemical_formula_sum 'Si2 As4 Rh2'
_symmetry_space_group_name_H-M 'I m m m'
_symmetry_Int_Tables_number 71
_symmetry_space_group_name_Hall '-I 2 2'
_cell_length_a 3.4654
_cell_length_b 3.6665
_cell_length_c 11.5381
_cell_angle_alpha 90.00
_cell_angle_beta 90.00
_cell_angle_gamma 90.00
loop_
_atom_site_label
_atom_site_type_symbol
_atom_site_fract_x
_atom_site_fract_y
_atom_site_fract_z
_atom_site_occupancy
Si1 Si 0.0000 0.0000 0.0000 1
As1 As 0.0000 0.5000 0.3396 1
Rh1 Rh 0.0000 0.0000 0.5000 1
```

Computed properties:
Uncorrected formation energy in eV per formula unit: -0.367
Crystal system: orthorhombic

Record 3
Here is crystalline SiAs2Rh at its relaxed geometry from Alexandria via LeMat-Bulk. Energies are from PBE-GGA.

CIF file:
```
data_SiAs2Rh
_chemical_formula_sum 'Si3 As6 Rh3'
_symmetry_space_group_name_H-M 'R -3 m'
_symmetry_Int_Tables_number 166
_symmetry_space_group_name_Hall '-R 3 2"'
_cell_length_a 3.5418
_cell_length_b 3.5418
_cell_length_c 18.7850
_cell_angle_alpha 90.00
_cell_angle_beta 90.00
_cell_angle_gamma 120.00
loop_
_atom_site_label
_atom_site_type_symbol
_atom_site_fract_x
_atom_site_fract_y
_atom_site_fract_z
_atom_site_occupancy
Si1 Si 0.0000 0.0000 0.0000 1
As1 As 0.0000 0.0000 0.2497 1
Rh1 Rh 0.0000 0.0000 0.5000 1
```

Computed properties:
Uncorrected formation energy in eV per formula unit: 0.023
Crystal system: trigonal

Record 4
Here is crystalline SiAs2Rh8 at its relaxed geometry from Alexandria via LeMat-Bulk. Energies are from PBE-GGA.

CIF file:
```
data_SiAs2Rh8
_chemical_formula_sum 'Si2 As4 Rh16'
_symmetry_space_group_name_H-M 'I m m m'
_symmetry_Int_Tables_number 71
_symmetry_space_group_name_Hall '-I 2 2'
_cell_length_a 3.9895
_cell_length_b 6.9142
_cell_length_c 11.5526
_cell_angle_alpha 90.00
_cell_angle_beta 90.00
_cell_angle_gamma 90.00
loop_
_atom_site_label
_atom_site_type_symbol
_atom_site_fract_x
_atom_site_fract_y
_atom_site_fract_z
_atom_site_occupancy
Si1 Si 0.0000 0.0000 0.0000 1
As1 As 0.0000 0.0000 0.3160 1
Rh1 Rh 0.0000 0.1921 0.5000 1
Rh2 Rh 0.0000 0.2672 0.1634 1
Rh3 Rh 0.0000 0.5000 0.3652 1
```

Computed properties:
Uncorrected formation energy in eV per formula unit: -3.217
Crystal system: orthorhombic

Record 5
Here is crystalline SiAs2Rh at its relaxed geometry from Alexandria via LeMat-Bulk. Energies are from PBE-GGA.

CIF file:
```
data_SiAs2Rh
_chemical_formula_sum 'Si1 As2 Rh1'
_symmetry_space_group_name_H-M 'P 4/m m m'
_symmetry_Int_Tables_number 123
_symmetry_space_group_name_Hall '-P 4 2'
_cell_length_a 3.0643
_cell_length_b 3.0643
_cell_length_c 7.0699
_cell_angle_alpha 90.00
_cell_angle_beta 90.00
_cell_angle_gamma 90.00
loop_
_atom_site_label
_atom_site_type_symbol
_atom_site_fract_x
_atom_site_fract_y
_atom_site_fract_z
_atom_site_occupancy
Si1 Si 0.0000 0.0000 0.0000 1
As1 As 0.5000 0.5000 0.2785 1
Rh1 Rh 0.0000 0.0000 0.5000 1
```

Computed properties:
Uncorrected formation energy in eV per formula unit: 0.526
Crystal system: tetragonal

Record 6
Here is crystalline Si2As2Rh at its relaxed geometry from Alexandria via LeMat-Bulk. Energies are from PBE-GGA.

CIF file:
```
data_Si2As2Rh
_chemical_formula_sum 'Si4 As4 Rh2'
_symmetry_space_group_name_H-M 'P 4/m b m'
_symmetry_Int_Tables_number 127
_symmetry_space_group_name_Hall '-P 4 2ab'
_cell_length_a 6.4559
_cell_length_b 6.4559
_cell_length_c 4.0025
_cell_angle_alpha 90.00
_cell_angle_beta 90.00
_cell_angle_gamma 90.00
loop_
_atom_site_label
_atom_site_type_symbol
_atom_site_fract_x
_atom_site_fract_y
_atom_site_fract_z
_atom_site_occupancy
Si1 Si 0.1328 0.3672 0.0000 1
As1 As 0.2069 0.7069 0.5000 1
Rh1 Rh 0.0000 0.0000 0.0000 1
```

Computed properties:
Uncorrected formation energy in eV per formula unit: 0.624
Crystal system: tetragonal

Record 7
Here is crystalline SiAs2Rh at its relaxed geometry from Alexandria via LeMat-Bulk. Energies are from PBE-GGA.

CIF file:
```
data_SiAs2Rh
_chemical_formula_sum 'Si1 As2 Rh1'
_symmetry_space_group_name_H-M 'P m m m'
_symmetry_Int_Tables_number 47
_cell_length_a 3.1760
_cell_length_b 4.4975
_cell_length_c 4.5537
_cell_angle_alpha 90.00
_cell_angle_beta 90.00
_cell_angle_gamma 90.00
loop_
_symmetry_equiv_pos_as_xyz
'x,y,z'
'-x,-y,-z'
'-x,-y,z'
'x,y,-z'
'x,-y,-z'
'-x,y,z'
'-x,y,-z'
'x,-y,z'
loop_
_atom_site_label
_atom_site_type_symbol
_atom_site_fract_x
_atom_site_fract_y
_atom_site_fract_z
_atom_site_occupancy
Si1 Si 0.0000 0.0000 0.0000 1
As1 As 0.0000 0.5000 0.5000 1
As2 As 0.5000 0.5000 0.0000 1
Rh1 Rh 0.5000 0.0000 0.5000 1
```

Computed properties:
Uncorrected formation energy in eV per formula unit: 1.038
Crystal system: orthorhombic

Record 8
Here is crystalline SiAs2Rh at its relaxed geometry from Alexandria via LeMat-Bulk. Energies are from PBE-GGA.

CIF file:
```
data_SiAs2Rh
_chemical_formula_sum 'Si1 As2 Rh1'
_symmetry_space_group_name_H-M 'P 4/m m m'
_symmetry_Int_Tables_number 123
_symmetry_space_group_name_Hall '-P 4 2'
_cell_length_a 3.8809
_cell_length_b 3.8809
_cell_length_c 4.4135
_cell_angle_alpha 90.00
_cell_angle_beta 90.00
_cell_angle_gamma 90.00
loop_
_atom_site_label
_atom_site_type_symbol
_atom_site_fract_x
_atom_site_fract_y
_atom_site_fract_z
_atom_site_occupancy
Si1 Si 0.0000 0.0000 0.0000 1
As1 As 0.0000 0.5000 0.5000 1
Rh1 Rh 0.5000 0.5000 0.0000 1
```

Computed properties:
Uncorrected formation energy in eV per formula unit: 1.088
Crystal system: tetragonal

Record 9
Here is crystalline SiAs2Rh at its relaxed geometry from Alexandria via LeMat-Bulk. Energies are from PBE-GGA.

CIF file:
```
data_SiAs2Rh
_chemical_formula_sum 'Si2 As4 Rh2'
_symmetry_space_group_name_H-M 'C m m m'
_symmetry_Int_Tables_number 65
_symmetry_space_group_name_Hall '-C 2 2'
_cell_length_a 4.5298
_cell_length_b 8.8006
_cell_length_c 3.9633
_cell_angle_alpha 90.00
_cell_angle_beta 90.00
_cell_angle_gamma 90.00
loop_
_atom_site_label
_atom_site_type_symbol
_atom_site_fract_x
_atom_site_fract_y
_atom_site_fract_z
_atom_site_occupancy
Si1 Si 0.0000 0.0000 0.0000 1
As1 As 0.0000 0.3218 0.5000 1
Rh1 Rh 0.0000 0.5000 0.0000 1
```

Computed properties:
Uncorrected formation energy in eV per formula unit: -0.354
Crystal system: orthorhombic

Record 10
Here is crystalline SiAs2Rh at its relaxed geometry from Alexandria via LeMat-Bulk. Energies are from PBE-GGA.

CIF file:
```
data_SiAs2Rh
_chemical_formula_sum 'Si1 As2 Rh1'
_symmetry_space_group_name_H-M 'P 4/m m m'
_symmetry_Int_Tables_number 123
_symmetry_space_group_name_Hall '-P 4 2'
_cell_length_a 4.6895
_cell_length_b 4.6895
_cell_length_c 2.9264
_cell_angle_alpha 90.00
_cell_angle_beta 90.00
_cell_angle_gamma 90.00
loop_
_atom_site_label
_atom_site_type_symbol
_atom_site_fract_x
_atom_site_fract_y
_atom_site_fract_z
_atom_site_occupancy
Si1 Si 0.0000 0.0000 0.0000 1
As1 As 0.0000 0.5000 0.5000 1
Rh1 Rh 0.5000 0.5000 0.0000 1
```

Computed properties:
Uncorrected formation energy in eV per formula unit: 0.908
Crystal system: tetragonal

Record 11
Here is crystalline SiAs2Rh at its relaxed geometry from Alexandria via LeMat-Bulk. Energies are from PBE-GGA.

CIF file:
```
data_SiAs2Rh
_chemical_formula_sum 'Si2 As4 Rh2'
_symmetry_space_group_name_H-M 'C 1 m 1'
_symmetry_Int_Tables_number 8
_cell_length_a 7.7876
_cell_length_b 3.5643
_cell_length_c 5.6443
_cell_angle_alpha 90.00
_cell_angle_beta 104.35
_cell_angle_gamma 90.00
loop_
_symmetry_equiv_pos_as_xyz
'x,y,z'
'x,-y,z'
'x+1/2,y+1/2,z'
'x+1/2,-y+1/2,z'
loop_
_atom_site_label
_atom_site_type_symbol
_atom_site_fract_x
_atom_site_fract_y
_atom_site_fract_z
_atom_site_occupancy
Si1 Si 0.0000 0.0000 0.0000 1
As1 As 0.1787 0.0000 0.7191 1
As2 As 0.4611 0.0000 0.3242 1
Rh1 Rh 0.2205 0.5000 0.0728 1
```

Computed properties:
Uncorrected formation energy in eV per formula unit: -0.461
Crystal system: monoclinic

Record 12
Here is crystalline SiAs2Rh at its relaxed geometry from Alexandria via LeMat-Bulk. Energies are from PBE-GGA.

CIF file:
```
data_SiAs2Rh
_chemical_formula_sum 'Si2 As4 Rh2'
_symmetry_space_group_name_H-M 'C m m m'
_symmetry_Int_Tables_number 65
_symmetry_space_group_name_Hall '-C 2 2'
_cell_length_a 5.4813
_cell_length_b 7.1298
_cell_length_c 3.3319
_cell_angle_alpha 90.00
_cell_angle_beta 90.00
_cell_angle_gamma 90.00
loop_
_atom_site_label
_atom_site_type_symbol
_atom_site_fract_x
_atom_site_fract_y
_atom_site_fract_z
_atom_site_occupancy
Si1 Si 0.0000 0.0000 0.0000 1
As1 As 0.2500 0.2500 0.5000 1
Rh1 Rh 0.0000 0.5000 0.0000 1
```

Computed properties:
Uncorrected formation energy in eV per formula unit: 0.730
Crystal system: orthorhombic